A plane-wave DFT calculation with PBE was carried out for a geometry-optimized TlIn2Cl structure.

Cell lengths 6.431, 6.431, 6.431 Å; angles 138.21, 138.21, 60.58 degrees
Element x y z (fractional)
In: 0.000 0.000 0.000
In: 0.250 0.750 0.500
Cl: 0.750 0.250 0.500
Tl: 0.500 0.500 0.000

Computed properties:
energy relative to the lowest polymorph listed for this composition	0.103	eV per atom
calculated volume	117	Å³/f.u.

A plane-wave DFT calculation with PBE was carried out for a geometry-optimized Tl2InCl structure.

Cell lengths 6.496, 6.496, 9.058 Å; angles 68.99, 68.99, 90.00 degrees
Element x y z (fractional)
Tl: 0.875 0.884 0.750
Tl: 0.375 0.366 0.750
Tl: 0.116 0.625 0.250
Tl: 0.634 0.125 0.250
Cl: 0.250 0.750 0.500
Cl: 0.500 0.500 0.000
In: 0.000 0.000 0.000
In: 0.750 0.250 0.500

Computed properties:
energy relative to the lowest polymorph listed for this composition	0.209	eV per atom
calculated volume	165	Å³/f.u.

A plane-wave DFT calculation with PBE was carried out for a geometry-optimized Tl2In3Cl8 structure.

Cell lengths 9.233, 8.781, 6.959 Å; angles 107.60, 90.00, 121.72 degrees
Element x y z (fractional)
Cl: 0.085 0.778 0.555
Cl: 0.386 0.772 0.029
Cl: 0.693 0.778 0.555
Cl: 0.307 0.222 0.445
Cl: 0.915 0.222 0.445
Cl: 0.614 0.228 0.971
Cl: 0.900 0.800 0.116
Cl: 0.100 0.200 0.884
In: 0.000 0.000 0.500
In: 0.266 0.000 0.000
In: 0.734 0.000 0.000
Tl: 0.282 0.563 0.345
Tl: 0.718 0.437 0.655

Computed properties:
calculated volume	449	Å³/f.u.

A plane-wave DFT calculation with PBE was carried out for a geometry-optimized Tl5InCl7 structure.

Cell lengths 4.108, 7.951, 27.387 Å; angles 90.01, 90.00, 104.97 degrees
Element x y z (fractional)
Cl: 0.257 0.514 0.188
Cl: 0.057 0.115 0.888
Cl: 0.355 0.709 0.540
Cl: 0.355 0.709 0.960
Cl: 0.257 0.514 0.312
Cl: 0.943 0.886 0.112
Cl: 0.461 0.922 0.250
Cl: 0.943 0.886 0.388
Cl: 0.646 0.292 0.040
Cl: 0.057 0.115 0.612
Cl: 0.646 0.292 0.460
Cl: 0.540 0.079 0.750
Cl: 0.744 0.487 0.812
Cl: 0.743 0.487 0.688
Tl: 0.571 0.143 0.151
Tl: 0.429 0.858 0.650
Tl: 0.000 0.001 0.000
Tl: 0.706 0.412 0.925
Tl: 0.706 0.412 0.575
Tl: 0.295 0.589 0.075
Tl: 0.295 0.589 0.425
Tl: 0.571 0.143 0.349
Tl: 0.000 0.000 0.500
Tl: 0.429 0.858 0.850
In: 0.170 0.340 0.750
In: 0.831 0.662 0.250

Computed properties:
calculated volume	432	Å³/f.u.

| no. | formation energy without anion corrections (kJ per mole of atoms) | total magnetization (μB per formula unit) | electronic total energy (eV per atom) |
| --- | --- | --- | --- |
| 1 | -24.1 | 0.0 | -2.67 |
| 2 | -14.0 | 0.0 | -2.47 |
| 3 | -91.5 | 0.0 | -3.08 |
| 4 | -90.4 | 0.0 | -3.05 |